Record 1
Below is a relaxed CsAlBiSe4 crystal, with properties calculated at the PBE level.

a = 7.364 Å, b = 6.130 Å, c = 10.342 Å
α = 90.00°, β = 103.48°, γ = 90.00°
Sites, in units of the cell vectors:
Cs  0.749  0.750  0.954
Cs  0.251  0.250  0.046
Al  0.235  0.750  0.337
Al  0.765  0.250  0.663
Bi  0.728  0.750  0.426
Bi  0.272  0.250  0.574
Se  0.016  0.513  0.714
Se  0.984  0.013  0.286
Se  0.984  0.487  0.286
Se  0.016  0.987  0.714
Se  0.448  0.750  0.194
Se  0.552  0.250  0.806
Se  0.407  0.750  0.563
Se  0.593  0.250  0.437

Fermi-level density of states (states/eV/atom): 0.215
Total DFT energy (no corrections) (eV per atom): -3.929
Uncorrected formation energy (eV/atom): -0.726



Record 2
Below is a relaxed Cs2SrAlBi2 crystal, with properties calculated at the PBE level.

a = 5.587 Å, b = 8.361 Å, c = 10.607 Å
α = 90.00°, β = 90.00°, γ = 90.00°
Sites, in units of the cell vectors:
Cs  0.500  0.995  0.093
Cs  0.000  0.321  0.155
Cs  0.500  0.495  0.907
Cs  0.000  0.821  0.845
Sr  0.000  0.020  0.478
Sr  0.000  0.520  0.522
Al  0.500  0.166  0.664
Al  0.500  0.666  0.336
Bi  0.000  0.242  0.763
Bi  0.500  0.300  0.398
Bi  0.000  0.742  0.237
Bi  0.500  0.800  0.602

Fermi-level density of states (states/eV/atom): 0.069
ΔH_f (0 K) (meV/atom): -390.5
Total DFT energy (no corrections) (eV per atom): -2.873



Record 3
Below is a relaxed CsAlBi2Te crystal, with properties calculated at the PBE level.

a = 5.458 Å, b = 6.918 Å, c = 5.458 Å
α = 90.00°, β = 90.00°, γ = 90.00°
Sites, in units of the cell vectors:
Cs  0.000  0.500  0.000
Te  0.500  0.500  0.500
Bi  0.000  0.000  0.500
Bi  0.500  0.000  0.000
Al  0.000  0.000  0.000

Fermi-level density of states (states/eV/atom): 0.735
Total DFT energy (no corrections) (eV per atom): -2.819
Uncorrected formation energy (eV/atom): 0.281



Record 4
Below is a relaxed Cs2AlBiTe4 crystal, with properties calculated at the PBE level.

a = 7.135 Å, b = 8.705 Å, c = 14.058 Å
α = 84.03°, β = 75.30°, γ = 65.81°
Sites, in units of the cell vectors:
Cs  0.182  0.000  0.635
Cs  0.818  0.000  0.365
Cs  0.568  0.500  0.865
Cs  0.932  0.500  0.135
Al  0.250  0.500  0.500
Al  0.500  0.000  0.000
Bi  0.750  0.500  0.500
Bi  0.000  0.000  0.000
Te  0.331  0.802  0.113
Te  0.245  0.198  0.887
Te  0.868  0.802  0.887
Te  0.556  0.198  0.113
Te  0.419  0.698  0.387
Te  0.505  0.302  0.613
Te  0.882  0.698  0.613
Te  0.194  0.302  0.387

Total DFT energy (no corrections) (eV per atom): -3.407
Uncorrected formation energy (eV/atom): -0.670



Record 5
Below is a relaxed Cs2AlTlBi2 crystal, with properties calculated at the PBE level.

a = 7.876 Å, b = 7.480 Å, c = 10.250 Å
α = 111.40°, β = 112.59°, γ = 90.00°
Sites, in units of the cell vectors:
Cs  0.389  0.166  0.332
Cs  0.611  0.834  0.668
Cs  0.057  0.334  0.668
Cs  0.943  0.666  0.332
Al  0.500  0.750  0.000
Al  0.500  0.250  0.000
Tl  0.000  0.750  0.000
Tl  0.000  0.250  0.000
Bi  0.784  0.093  0.186
Bi  0.402  0.593  0.186
Bi  0.598  0.407  0.814
Bi  0.216  0.907  0.814

Fermi-level density of states (states/eV/atom): 0.345
ΔH_f (0 K) (meV/atom): -269.5
Total DFT energy (no corrections) (eV per atom): -2.866



Record 6
Below is a relaxed CsY2AlBi crystal, with properties calculated at the PBE level.

a = 5.698 Å, b = 6.110 Å, c = 5.698 Å
α = 90.00°, β = 90.00°, γ = 90.00°
Sites, in units of the cell vectors:
Cs  0.000  0.000  0.000
Y  0.000  0.000  0.500
Y  0.500  0.000  0.000
Bi  0.000  0.500  0.000
Al  0.500  0.500  0.500

Fermi-level density of states (states/eV/atom): 1.394
ΔH_f (0 K) (meV/atom): 1479.7
Total DFT energy (no corrections) (eV per atom): -2.801



Record 7
Below is a relaxed AlCuBi crystal, with properties calculated at the PBE level.

a = 4.062 Å, b = 4.062 Å, c = 7.196 Å
α = 90.00°, β = 90.00°, γ = 90.00°
Sites, in units of the cell vectors:
Bi  0.000  0.500  0.134
Bi  0.500  0.000  0.866
Cu  0.000  0.500  0.719
Cu  0.500  0.000  0.281
Al  0.000  0.000  0.500
Al  0.500  0.500  0.500

Fermi-level density of states (states/eV/atom): 0.341
ΔH_f (0 K) (meV/atom): 28.7
Total DFT energy (no corrections) (eV per atom): -3.878
Excess energy over the best structure of this formula in the dataset (meV per atom): 0



Record 8
Below is a relaxed Al2CuBi2 crystal, with properties calculated at the PBE level.

a = 6.579 Å, b = 6.579 Å, c = 5.298 Å
α = 90.00°, β = 90.00°, γ = 90.00°
Sites, in units of the cell vectors:
Bi  0.183  0.683  0.500
Bi  0.683  0.817  0.500
Bi  0.817  0.317  0.500
Bi  0.317  0.183  0.500
Cu  0.000  0.000  0.000
Cu  0.500  0.500  0.000
Al  0.354  0.854  0.000
Al  0.854  0.646  0.000
Al  0.646  0.146  0.000
Al  0.146  0.354  0.000

Fermi-level density of states (states/eV/atom): 0.451
ΔH_f (0 K) (meV/atom): 230.9
Total DFT energy (no corrections) (eV per atom): -3.638



Record 9
Below is a relaxed AlCu2Bi2 crystal, with properties calculated at the PBE level.

a = 6.970 Å, b = 6.970 Å, c = 4.290 Å
α = 90.00°, β = 90.00°, γ = 90.00°
Sites, in units of the cell vectors:
Bi  0.177  0.677  0.500
Bi  0.677  0.823  0.500
Bi  0.823  0.323  0.500
Bi  0.323  0.177  0.500
Cu  0.371  0.871  0.000
Cu  0.871  0.629  0.000
Cu  0.629  0.129  0.000
Cu  0.129  0.371  0.000
Al  0.000  0.000  0.000
Al  0.500  0.500  0.000

Fermi-level density of states (states/eV/atom): 0.482
ΔH_f (0 K) (meV/atom): 213.4
Total DFT energy (no corrections) (eV per atom): -3.726



Record 10
Below is a relaxed AlCuBi crystal, with properties calculated at the PBE level.

a = 3.213 Å, b = 3.254 Å, c = 14.018 Å
α = 90.00°, β = 90.00°, γ = 119.58°
Sites, in units of the cell vectors:
Al  0.584  0.169  0.000
Al  0.332  0.663  0.500
Cu  0.665  0.329  0.378
Cu  0.665  0.329  0.622
Bi  0.211  0.421  0.794
Bi  0.211  0.421  0.206

Fermi-level density of states (states/eV/atom): 0.379
ΔH_f (0 K) (meV/atom): 265.7
Total DFT energy (no corrections) (eV per atom): -3.641
Excess energy over the best structure of this formula in the dataset (meV per atom): 237



Record 11
Below is a relaxed AlCu2BiF crystal, with properties calculated at the PBE level.

a = 4.242 Å, b = 5.112 Å, c = 4.242 Å
α = 90.00°, β = 90.00°, γ = 90.00°
Sites, in units of the cell vectors:
F  0.000  0.000  0.000
Bi  0.000  0.500  0.000
Cu  0.000  0.000  0.500
Cu  0.500  0.000  0.000
Al  0.500  0.500  0.500

Fermi-level density of states (states/eV/atom): 0.420
Total DFT energy (no corrections) (eV per atom): -3.457
Uncorrected formation energy (eV/atom): 0.081



Record 12
Below is a relaxed AlFe2CuBi crystal, with properties calculated at the PBE level.

a = 4.565 Å, b = 5.048 Å, c = 4.565 Å
α = 90.00°, β = 90.00°, γ = 90.00°
Sites, in units of the cell vectors:
Al  0.500  0.500  0.500
Bi  0.000  0.500  0.000
Cu  0.000  0.000  0.000
Fe  0.000  0.000  0.500
Fe  0.500  0.000  0.000

Fermi-level density of states (states/eV/atom): 1.617
ΔH_f (0 K) (meV/atom): 1032.1
Total DFT energy (no corrections) (eV per atom): -4.697